Record 1
# VS2O8

A relaxed structure of VS2O8 (PBEsol, Alexandria).

Properties
As for the uncorrected formation energy: -1.528 eV/atom. Its space group is Pbca (61). As for the offset from the most stable computed form: 0 meV per atom.

Cell and atoms, written as POSCAR:
```
VS2O8
1.0
8.880 0.000 0.000
0.000 9.072 0.000
0.000 0.000 12.910
S V O
16 8 64
Cartesian
0.530 0.665 9.244 S
1.640 7.649 0.202 S
7.240 1.422 12.708 S
6.080 5.958 0.202 S
7.240 5.958 6.657 S
2.800 7.649 6.657 S
4.970 3.871 9.244 S
3.910 5.201 3.666 S
4.970 8.406 10.121 S
2.800 3.113 12.708 S
3.910 0.665 2.789 S
8.350 8.406 3.666 S
0.530 5.201 10.121 S
1.640 3.113 6.253 S
8.350 3.871 2.789 S
6.080 1.422 6.253 S
5.435 7.773 4.816 V
7.885 3.237 8.094 V
5.435 3.237 1.639 V
0.995 5.834 4.816 V
7.885 7.773 11.271 V
0.995 1.298 1.639 V
3.445 5.834 11.271 V
3.445 1.298 8.094 V
6.483 8.252 10.066 O
0.154 0.142 10.600 O
6.870 6.701 7.807 O
2.430 6.907 7.807 O
8.665 6.223 6.244 O
4.286 4.678 2.310 O
4.454 2.083 2.789 O
2.002 2.793 1.047 O
2.002 7.328 5.408 O
6.837 3.717 2.844 O
4.655 1.688 6.666 O
2.043 5.355 10.066 O
4.536 0.123 11.222 O
4.225 7.384 6.244 O
8.784 0.123 4.767 O
2.397 5.355 3.611 O
4.655 6.223 12.699 O
4.344 4.413 4.767 O
6.837 8.252 3.611 O
4.536 4.659 8.143 O
6.870 2.165 11.558 O
4.286 0.142 4.145 O
6.450 2.165 5.103 O
2.043 0.819 9.299 O
2.010 6.907 1.352 O
1.780 4.604 6.094 O
2.430 2.371 11.558 O
4.344 8.948 1.688 O
8.866 6.619 10.121 O
8.726 8.930 2.310 O
6.878 6.279 11.863 O
0.215 2.848 6.666 O
2.438 7.328 11.863 O
7.100 9.003 12.549 O
6.878 1.743 7.502 O
6.220 4.467 0.361 O
4.594 4.394 10.600 O
0.014 2.453 2.789 O
2.397 0.819 2.844 O
4.426 6.989 10.121 O
0.096 4.413 11.222 O
6.483 3.717 9.299 O
0.014 6.989 3.666 O
6.441 1.743 1.047 O
2.660 0.068 6.816 O
4.426 2.453 9.244 O
4.594 8.930 8.765 O
0.154 4.678 8.765 O
4.454 6.619 3.666 O
6.220 9.003 6.094 O
7.100 4.467 6.816 O
8.784 4.659 1.688 O
6.450 6.701 1.352 O
2.438 2.793 7.502 O
8.665 1.688 0.211 O
1.780 0.068 0.361 O
2.010 2.371 5.103 O
0.215 7.384 12.699 O
8.866 2.083 9.244 O
8.726 4.394 4.145 O
4.225 2.848 0.211 O
0.096 8.948 8.143 O
2.660 4.604 12.549 O
6.441 6.279 5.408 O
```

=====

Record 2
# V2S3O12

A relaxed structure of V2S3O12 (PBEsol, Alexandria).

Properties
As for the uncorrected formation energy: -1.564 eV/atom. Its space group is C2/c (15).

Cell and atoms, written as POSCAR:
```
V2S3O12
1.0
-0.525 3.689 6.475
0.929 -4.130 6.156
7.838 1.321 3.334
O V S
24 4 6
Cartesian
5.164 1.021 6.185 O
4.753 1.149 3.059 O
3.211 2.287 10.077 O
7.268 1.146 14.603 O
5.074 3.330 7.841 O
2.695 1.673 5.023 O
0.974 -0.265 1.362 O
3.079 -0.140 9.780 O
0.918 0.955 6.528 O
3.489 -0.268 12.905 O
6.885 1.125 11.472 O
7.108 -0.324 6.581 O
1.135 1.205 9.383 O
6.116 3.436 10.004 O
5.214 -0.412 8.112 O
3.168 -2.449 8.123 O
2.127 -2.555 5.961 O
7.884 -1.108 11.579 O
1.358 -0.244 4.493 O
5.032 -1.406 5.887 O
7.324 -0.074 9.437 O
5.548 -0.792 10.942 O
3.028 1.293 7.853 O
0.359 1.989 4.386 O
4.371 -1.569 9.458 V
3.871 2.450 6.506 V
7.574 2.944 11.283 V
0.669 -2.062 4.682 V
2.708 1.214 9.295 S
5.440 4.214 8.956 S
5.535 -0.333 6.670 S
1.225 1.110 5.089 S
7.018 -0.229 10.876 S
2.802 -3.333 7.008 S
```

=====

Record 3
# VSO4

A relaxed structure of VSO4 (PBEsol, Alexandria).

Properties
As for the uncorrected formation energy: -1.483 eV/atom. Its space group is Pnma (62).

Cell and atoms, written as POSCAR:
```
VSO4
1.0
-3.818 -2.853 -0.400
1.509 -1.128 -6.350
4.871 -6.852 2.375
O S V
16 4 4
Cartesian
2.475 -6.659 -3.411 O
2.112 -3.620 -2.751 O
-1.761 -2.780 -0.366 O
-1.200 -3.200 -2.730 O
2.405 -9.114 -2.991 O
0.257 -5.473 -4.148 O
1.774 -1.937 -4.416 O
0.157 -1.719 -1.384 O
3.762 -7.633 -1.646 O
0.088 -4.174 -0.965 O
2.306 -5.360 -0.227 O
0.788 -8.896 0.041 O
4.324 -8.053 -4.009 O
2.674 -4.040 -5.114 O
-0.112 -6.793 0.739 O
0.450 -7.213 -1.625 O
3.276 -7.878 -3.004 S
-0.098 -7.741 -0.375 S
2.660 -3.092 -4.000 S
-0.714 -2.955 -1.372 S
0.000 0.000 0.000 V
0.754 -0.564 -3.175 V
1.281 -5.417 -2.188 V
0.527 -4.853 0.987 V
```

=====

Record 4
# V2S2O11

A relaxed structure of V2S2O11 (PBEsol, Alexandria).

Properties
As for the uncorrected formation energy: -1.745 eV/atom. Its space group is P2_1/c (14).

Cell and atoms, written as POSCAR:
```
V2S2O11
1.0
-6.938 -5.711 -0.122
6.301 -7.645 -0.465
-1.413 1.517 9.316
S O V
8 44 8
Cartesian
1.575 -8.075 6.885 S
1.242 -4.600 3.700 S
4.712 -6.832 2.270 S
-3.293 -7.238 5.028 S
0.022 -4.265 8.348 S
-2.073 -7.574 0.379 S
-3.625 -3.764 1.843 S
-6.763 -5.007 6.458 S
0.717 -3.322 7.425 O
2.959 -5.259 6.640 O
0.501 -3.973 4.834 O
-2.552 -7.865 3.894 O
-1.018 -5.035 7.696 O
-3.159 -6.704 -0.163 O
-1.033 -6.804 1.032 O
-4.150 -4.157 0.548 O
-1.278 -2.317 5.863 O
-6.313 -4.152 7.592 O
2.099 -7.681 8.180 O
-2.337 -4.466 2.170 O
0.203 -5.085 2.746 O
-6.249 -4.545 5.181 O
-1.684 -8.931 7.519 O
1.307 -9.536 6.799 O
2.523 -7.777 5.775 O
-6.329 -6.412 6.770 O
1.690 -7.644 1.947 O
0.286 -7.373 6.558 O
2.211 -3.718 3.083 O
0.938 -4.954 0.172 O
4.262 -7.686 1.136 O
1.108 -5.135 8.891 O
-3.926 -5.995 4.494 O
-3.740 -4.195 6.780 O
-0.739 -12.560 2.092 O
-2.253 -6.754 5.982 O
-3.085 -3.004 8.963 O
1.875 -5.843 4.234 O
-3.358 -2.302 1.929 O
-2.767 -8.517 1.302 O
1.034 -8.835 -0.235 O
-4.262 -8.121 5.645 O
-2.989 -6.885 8.556 O
-0.773 -9.521 2.865 O
-0.367 -2.908 1.209 O
-5.010 -6.579 2.088 O
4.198 -7.294 3.547 O
0.589 -1.321 4.357 O
4.278 -5.427 1.958 O
-2.640 -10.518 4.371 O
-1.312 0.721 6.636 O
-4.574 -4.061 2.952 O
-4.476 -3.589 8.030 V
-0.678 -4.445 1.116 V
3.438 -6.076 5.386 V
-5.489 -5.763 3.342 V
-1.373 -7.393 7.612 V
-2.344 -9.532 2.924 V
2.425 -8.250 0.698 V
0.293 -2.306 5.804 V
```

=====

Record 5
# VS2O8

A relaxed structure of VS2O8 (PBEsol, Alexandria).

Properties
As for the uncorrected formation energy: -1.524 eV/atom. Its space group is R3 (146). As for the offset from the most stable computed form: 5 meV per atom.

Cell and atoms, written as POSCAR:
```
VS2O8
1.0
-1.312 4.604 6.720
-6.951 -0.932 4.346
0.503 -3.861 7.808
O S V
24 6 3
Cartesian
-3.432 2.613 11.249 O
-2.020 -0.464 11.299 O
-3.060 1.462 5.269 O
-0.038 -0.692 2.510 O
-5.033 2.069 9.577 O
-6.646 -2.186 11.775 O
-6.960 -1.237 9.286 O
-3.276 -0.268 3.304 O
-3.460 1.464 7.587 O
-5.517 -0.017 12.126 O
-4.502 -1.560 4.969 O
-0.915 0.939 9.668 O
-5.142 -1.960 13.581 O
-1.212 2.002 6.764 O
-4.324 -1.948 11.290 O
-1.081 1.596 12.043 O
-1.856 -2.908 7.097 O
-6.562 -1.083 15.787 O
-1.140 1.250 3.489 O
-5.741 0.231 7.868 O
-4.095 0.023 15.201 O
-4.230 -2.734 7.755 O
-2.442 -2.327 9.333 O
-2.134 -0.276 6.656 O
-6.938 -0.658 7.892 S
-4.788 3.004 10.713 S
-0.894 0.514 11.023 S
-5.423 -1.432 12.201 S
-2.377 1.212 6.594 S
-2.917 -3.124 8.132 S
-5.287 2.101 7.659 V
-0.934 -1.618 5.991 V
-2.467 -2.301 11.225 V
```

=====

Record 6
# WS2O

A relaxed structure of WS2O (PBEsol, Alexandria).

Properties
As for the uncorrected formation energy: 0.803 eV/atom. Its space group is R-3m (166).

Cell and atoms, written as POSCAR:
```
WS2O
1.0
3.023 0.000 0.000
1.512 2.618 0.000
1.512 0.873 7.350
S W O
2 1 1
Cartesian
1.512 0.873 5.142 S
4.535 2.618 2.208 S
0.000 0.000 0.000 W
3.023 1.745 3.675 O
```